P) VASP calculation (GGA-PBE) on a relaxed SmCN crystal.

abc: 3.7011 3.7011 4.0607
angles: 117.11 117.11 90.00
Element x y z (fractional)
C  0.6811  0.6811  0.3623
Sm  0.2827  0.2827  0.5655
N  0.8861  0.8861  0.7722

=====

Q) VASP calculation (GGA-PBE) on a relaxed SmCN crystal.

abc: 3.5429 6.8842 6.0878
angles: 90.00 90.00 90.00
Element x y z (fractional)
C  0.7500  0.9725  0.9445
C  0.2500  0.5275  0.4445
C  0.2500  0.0275  0.0555
C  0.7500  0.4725  0.5555
Sm  0.7500  0.3092  0.1581
Sm  0.2500  0.1908  0.6581
Sm  0.2500  0.6908  0.8419
Sm  0.7500  0.8092  0.3419
N  0.7500  0.4352  0.7801
N  0.2500  0.0648  0.2801
N  0.2500  0.5648  0.2199
N  0.7500  0.9352  0.7199

=====

Ranking the structures above from most stable to least stable yields P), Q).